Compound: PaPPd
Source: Alexandria
Functional: PBE-GGA
Structure: optimized geometry

Output
**Calculated total energy**: -7.574 eV per atom
**Energy of formation from the pure elements**: -0.8740 eV/atom
**Magnetic moment**: 0.00 Bohr magnetons per cell

Lattice parameters (Å, degrees): 5.4945 6.5785 7.1613 90.00 116.35 90.00
With the nearest neighbours (Å) after each atom.
Space group P2_1/c (No. 14)
Inequivalent atoms, fractional coordinates:
Pa 0.2346 0.1882 0.3984  5 P 2.80-3.10, 4 Pd 2.87-3.11
P 0.3663 0.5688 0.2408  3 Pd 2.43-2.63
Pd 0.1981 0.6368 0.5141  3 P 2.43-2.63

=====

Compound: NbCoAu2
Source: Alexandria
Functional: PBE-GGA
Structure: optimized geometry

Output
**Calculated total energy**: -5.765 eV per atom
**Energy of formation from the pure elements**: 0.1680 eV/atom
**Magnetic moment**: 4.90 Bohr magnetons per cell

Lattice parameters (Å, degrees): 6.4093 6.4093 6.4093 90.00 90.00 90.00
With the nearest neighbours (Å) after each atom.
Space group Fm-3m (No. 225)
Inequivalent atoms, fractional coordinates:
Nb 0.0000 0.0000 0.0000  8 Au 2.78
Co 0.0000 0.0000 0.5000  8 Au 2.78
Au 0.2500 0.2500 0.2500  4 Nb 2.78, 4 Co 2.78

=====

Compound: LiHfHg2
Source: Alexandria
Functional: PBE-GGA
Structure: optimized geometry

Output
**Calculated total energy**: -3.163 eV per atom
**Energy of formation from the pure elements**: -0.0448 eV/atom
**Magnetic moment**: 0.00 Bohr magnetons per cell

Lattice parameters (Å, degrees): 5.5164 3.1825 9.7193 90.00 101.04 90.00
With the nearest neighbours (Å) after each atom.
Space group Cm (No. 8)
Inequivalent atoms, fractional coordinates:
Li 0.0000 0.0000 0.0000  6 Hg 2.90-2.95, 6 Li 3.18
Hf 0.3324 0.5000 0.4973  6 Hg 3.10, 6 Hf 3.18
Hg 0.0878 0.5000 0.7591  3 Li 2.94-2.95, 3 Hf 3.10, 6 Hg 3.18
Hg 0.4114 0.0000 0.2355  3 Li 2.90, 3 Hf 3.10, 6 Hg 3.18

=====

Compound: CeEr4Tm8
Source: Alexandria
Functional: PBE-GGA
Structure: optimized geometry

Output
**Calculated total energy**: -4.428 eV per atom
**Energy of formation from the pure elements**: 0.1843 eV/atom
**Magnetic moment**: 0.06 Bohr magnetons per cell

Lattice parameters (Å, degrees): 7.1721 7.1721 26.4018 90.00 90.00 120.00
With the nearest neighbours (Å) after each atom.
Space group R-3m (No. 166, hexagonal axes)
Inequivalent atoms, fractional coordinates:
Ce 0.0000 0.0000 0.0000  6 Tm 2.82
Er 0.0000 0.0000 0.5000  6 Tm 3.31, 6 Er 3.59
Er 0.0000 0.5000 0.5000  6 Tm 3.49-3.63, 6 Er 3.59
Tm 0.0000 0.0000 0.2797  9 Tm 3.60-3.61, 3 Er 3.63
Tm 0.0325 0.5163 0.2701  1 Ce 2.82

=====

Q: Among the records above, which one has the highest calculated total energy?
A: LiHfHg2